# 1
Cs2Mn2InF7 | PBE+U | optimized geometry

Lattice parameters (Å, degrees): 4.361 4.361 23.523 90.00 90.00 90.00
Space group I4/mmm (No. 139)
Unique sites:
Cs (0.000, 0.000, 0.185) x4
Mn (0.000, 0.000, 0.409) x4
In (0.000, 0.000, 0.000) x2
F (0.000, 0.000, 0.318) x4
F (0.000, 0.000, 0.500) x2
F (0.000, 0.500, 0.090) x8

Summary:
Crystal system = tetragonal
E_tot = -5.2479 eV/atom
Total magnetic moment = 20.000 μB per cell

# 2
Cs2MnInF6 | PBE+U | optimized geometry

Lattice parameters (Å, degrees): 9.064 9.064 9.064 90.00 90.00 90.00
Space group Fm-3m (No. 225)
Unique sites:
Cs (0.250, 0.250, 0.250) x8
Mn (0.000, 0.000, 0.000) x4
In (0.000, 0.000, 0.500) x4
F (0.000, 0.000, 0.238) x24

Summary:
Crystal system = cubic
E_tot = -4.8660 eV/atom
Total magnetic moment = 17.398 μB per cell

# 3
Cs4Mn3InF12 | PBE+U | optimized geometry

Lattice parameters (Å, degrees): 8.933 8.933 8.933 90.00 90.00 90.00
Space group Im-3m (No. 229)
Unique sites:
Cs (0.250, 0.250, 0.250) x8
Mn (0.000, 0.000, 0.500) x6
In (0.000, 0.000, 0.000) x2
F (0.000, 0.000, 0.263) x12
F (0.000, 0.250, 0.500) x12

Summary:
Crystal system = cubic
E_tot = -5.1927 eV/atom
Total magnetic moment = 28.012 μB per cell